1.
# Tm5CoAg2

An optimized crystal structure of Tm5CoAg2 (PBE, the Alexandria database).

Lattice parameters (Å, degrees): 8.4986 11.6107 4.0190 90.00 90.00 90.00
Atoms (fractional coordinates):
Tm 0.0000 0.0000 0.0000
Tm 0.1478 0.3063 0.0000
Tm 0.1767 0.5734 0.5000
Tm 0.3233 0.0734 0.5000
Tm 0.3522 0.8063 0.0000
Tm 0.5000 0.5000 0.0000
Tm 0.6478 0.1937 0.0000
Tm 0.6767 0.9266 0.5000
Tm 0.8233 0.4266 0.5000
Tm 0.8522 0.6937 0.0000
Co 0.0000 0.5000 0.0000
Co 0.5000 0.0000 0.0000
Ag 0.0679 0.8246 0.5000
Ag 0.4321 0.3246 0.5000
Ag 0.5679 0.6754 0.5000
Ag 0.9321 0.1754 0.5000

Results
Formation energy from the elements in eV/atom: -0.227

=====

2.
# Ba4MgIn

An optimized crystal structure of Ba4MgIn (PBE, the Alexandria database).

Lattice parameters (Å, degrees): 10.6323 10.6323 10.6323 33.26 33.26 33.26
Atoms (fractional coordinates):
Ba 0.1195 0.1195 0.1195
Ba 0.3704 0.3704 0.3704
Ba 0.6296 0.6296 0.6296
Ba 0.8805 0.8805 0.8805
Mg 0.5000 0.5000 0.5000
In 0.0000 0.0000 0.0000

Results
Formation energy from the elements in eV/atom: -0.053

=====

3.
# KNbTcS3

An optimized crystal structure of KNbTcS3 (PBE, the Alexandria database).

Lattice parameters (Å, degrees): 8.5430 3.5177 9.4910 90.00 113.30 90.00
Atoms (fractional coordinates):
K 0.2290 0.2500 0.2423
K 0.7710 0.7500 0.7577
Nb 0.3082 0.7500 0.8349
Nb 0.6918 0.2500 0.1651
Tc 0.0884 0.2500 0.6102
Tc 0.9116 0.7500 0.3898
S 0.1154 0.2500 0.8678
S 0.2273 0.7500 0.5456
S 0.4605 0.7500 0.1325
S 0.5395 0.2500 0.8675
S 0.7727 0.2500 0.4544
S 0.8846 0.7500 0.1322

Results
Formation energy from raw total energies in eV per formula unit: -5.61

=====

4.
# TiGaW3

An optimized crystal structure of TiGaW3 (PBE, the Alexandria database).

Lattice parameters (Å, degrees): 4.5800 4.5800 4.5800 90.00 90.00 90.00
Atoms (fractional coordinates):
Ti 0.0000 0.0000 0.0000
Ga 0.5000 0.5000 0.5000
W 0.0000 0.5000 0.5000
W 0.5000 0.0000 0.5000
W 0.5000 0.5000 0.0000

Results
Formation energy from the elements in eV/atom: 1.625